i.
5
Lattice="4.944 0.000 0.000 0.000 4.944 0.000 0.000 0.000 4.944" Properties=species:S:1:pos:R:3 comment="YFe3Br PBE relaxed" space_group=Pm-3m magmom_total_mub_per_cell=7.3 pbc="T T T"
Y 0.000 0.000 0.000
Fe 0.000 0.000 2.472
Fe 0.000 2.472 0.000
Fe 2.472 0.000 0.000
Br 2.472 2.472 2.472


ii.
5
Lattice="4.437 0.000 0.000 0.000 4.437 0.000 0.000 0.000 4.437" Properties=species:S:1:pos:R:3 comment="YFe3Br PBE relaxed" space_group=Pm-3m magmom_total_mub_per_cell=4.5 pbc="T T T"
Y 0.000 0.000 0.000
Fe 0.000 2.218 2.218
Fe 2.218 0.000 2.218
Fe 2.218 2.218 0.000
Br 2.218 2.218 2.218


Stability, lowest: i


i.
5
Lattice="5.599 0.000 0.000 0.000 5.599 0.000 0.000 0.000 5.599" Properties=species:S:1:pos:R:3 comment="YFeBr3 PBE relaxed" space_group=Pm-3m magmom_total_mub_per_cell=4.0 pbc="T T T"
Y 0.000 0.000 0.000
Fe 2.799 2.799 2.799
Br 0.000 0.000 2.799
Br 0.000 2.799 0.000
Br 2.799 0.000 0.000


ii.
5
Lattice="4.857 0.000 0.000 0.000 4.857 0.000 0.000 0.000 4.857" Properties=species:S:1:pos:R:3 comment="YFeBr3 PBE relaxed" space_group=Pm-3m magmom_total_mub_per_cell=0.0 pbc="T T T"
Y 0.000 0.000 0.000
Fe 2.428 2.428 2.428
Br 0.000 2.428 2.428
Br 2.428 0.000 2.428
Br 2.428 2.428 0.000


Stability, lowest: ii


i.
5
Lattice="4.568 0.000 0.000 0.000 4.568 0.000 0.000 0.000 4.568" Properties=species:S:1:pos:R:3 comment="ZnFe3Br PBE relaxed" space_group=Pm-3m magmom_total_mub_per_cell=8.6 pbc="T T T"
Zn 0.000 0.000 0.000
Fe 0.000 0.000 2.284
Fe 0.000 2.284 0.000
Fe 2.284 0.000 0.000
Br 2.284 2.284 2.284


ii.
5
Lattice="4.360 0.000 0.000 0.000 4.360 0.000 0.000 0.000 4.360" Properties=species:S:1:pos:R:3 comment="ZnFe3Br PBE relaxed" space_group=Pm-3m magmom_total_mub_per_cell=6.1 pbc="T T T"
Zn 0.000 0.000 0.000
Fe 0.000 2.180 2.180
Fe 2.180 0.000 2.180
Fe 2.180 2.180 0.000
Br 2.180 2.180 2.180


Stability, lowest: i


i.
5
Lattice="4.919 0.000 0.000 0.000 4.919 0.000 0.000 0.000 4.919" Properties=species:S:1:pos:R:3 comment="ZnFeBr3 PBE relaxed" space_group=Pm-3m magmom_total_mub_per_cell=0.0 pbc="T T T"
Zn 0.000 0.000 0.000
Fe 2.459 2.459 2.459
Br 0.000 2.459 2.459
Br 2.459 0.000 2.459
Br 2.459 2.459 0.000


ii.
5
Lattice="5.135 0.000 0.000 0.000 5.135 0.000 0.000 0.000 5.135" Properties=species:S:1:pos:R:3 comment="ZnFeBr3 PBE relaxed" space_group=Pm-3m magmom_total_mub_per_cell=3.8 pbc="T T T"
Zn 0.000 0.000 0.000
Fe 2.567 2.567 2.567
Br 0.000 0.000 2.567
Br 0.000 2.567 0.000
Br 2.567 0.000 0.000


Stability, lowest: ii


i.
4
Lattice="-1.922 1.922 5.153 1.922 -1.922 5.153 1.922 1.922 -5.153" Properties=species:S:1:pos:R:3 comment="Zr2FeBr PBE relaxed" space_group=I-4m2 magmom_total_mub_per_cell=0.9 pbc="T T T"
Zr 0.000 0.000 0.000
Zr 0.000 1.922 2.576
Fe 0.000 0.000 5.153
Br 1.922 0.000 2.576


ii.
4
Lattice="3.262 -1.829 0.000 3.262 1.829 0.000 -2.227 0.000 7.191" Properties=species:S:1:pos:R:3 comment="Zr2FeBr PBE relaxed" space_group=C2/m magmom_total_mub_per_cell=0.0 pbc="T T T"
Zr 1.087 0.000 1.281
Zr 3.209 0.000 5.910
Fe 3.262 0.000 0.000
Br -1.114 0.000 3.595


Stability, lowest: i


i.
4
Lattice="2.240 -2.244 0.000 2.240 2.244 0.000 0.000 0.000 7.770" Properties=species:S:1:pos:R:3 comment="Zr2FeBr PBE relaxed" space_group=Cmmm magmom_total_mub_per_cell=0.7 pbc="T T T"
Zr 0.000 0.000 1.573
Zr 0.000 0.000 6.196
Fe 2.240 0.000 0.000
Br 2.240 0.000 3.885


ii.
4
Lattice="3.094 -3.765 0.000 3.094 3.765 0.000 0.000 0.000 3.206" Properties=species:S:1:pos:R:3 comment="Zr2FeBr PBE relaxed" space_group=Cmmm magmom_total_mub_per_cell=1.6 pbc="T T T"
Zr 1.547 1.882 0.000
Zr 1.547 -1.882 0.000
Fe 0.000 0.000 1.603
Br 3.094 0.000 1.603


Stability, lowest: ii


i.
4
Lattice="0.000 3.329 3.329 3.329 0.000 3.329 3.329 3.329 0.000" Properties=species:S:1:pos:R:3 comment="Zr2FeBr PBE relaxed" space_group=Fm-3m magmom_total_mub_per_cell=0.0 pbc="T T T"
Zr 1.665 1.665 1.665
Zr 4.994 4.994 4.994
Fe 0.000 0.000 0.000
Br 3.329 3.329 3.329


ii.
4
Lattice="-1.950 2.552 3.838 1.950 -2.552 3.838 1.950 2.552 -3.838" Properties=species:S:1:pos:R:3 comment="Zr2FeBr PBE relaxed" space_group=Immm magmom_total_mub_per_cell=1.0 pbc="T T T"
Zr 0.000 0.000 1.819
Zr 0.000 0.000 5.857
Fe 1.950 0.000 0.000
Br 0.000 2.552 0.000


iii.
4
Lattice="1.676 0.968 9.376 -1.676 0.968 9.376 0.000 -1.935 9.376" Properties=species:S:1:pos:R:3 comment="Zr2FeBr PBE relaxed" space_group=R3m magmom_total_mub_per_cell=2.5 pbc="T T T"
Zr 0.000 0.000 0.000
Zr 0.000 0.000 6.866
Fe 0.000 0.000 20.589
Br 0.000 0.000 14.260


Stability, lowest: i


i.
5
Lattice="4.346 0.000 0.000 0.000 4.346 0.000 0.000 0.000 4.346" Properties=species:S:1:pos:R:3 comment="ZrFe3Br PBE relaxed" space_group=Pm-3m magmom_total_mub_per_cell=4.0 pbc="T T T"
Zr 0.000 0.000 0.000
Fe 0.000 2.173 2.173
Fe 2.173 0.000 2.173
Fe 2.173 2.173 0.000
Br 2.173 2.173 2.173


ii.
5
Lattice="4.781 0.000 0.000 0.000 4.781 0.000 0.000 0.000 4.781" Properties=species:S:1:pos:R:3 comment="ZrFe3Br PBE relaxed" space_group=Pm-3m magmom_total_mub_per_cell=6.4 pbc="T T T"
Zr 0.000 0.000 0.000
Fe 0.000 0.000 2.391
Fe 0.000 2.391 0.000
Fe 2.391 0.000 0.000
Br 2.391 2.391 2.391


Stability, lowest: ii


i.
24
Lattice="7.825 0.000 0.000 0.000 10.522 0.000 0.000 0.000 10.602" Properties=species:S:1:pos:R:3 comment="GaBr2 PBE relaxed" space_group=Pnna magmom_total_mub_per_cell=0.0 pbc="T T T"
Ga 0.775 2.630 2.651
Ga 1.956 0.000 7.284
Ga 1.956 5.261 8.620
Ga 3.138 7.891 2.651
Ga 4.687 2.630 7.952
Ga 5.869 0.000 3.318
Ga 5.869 5.261 1.983
Ga 7.050 7.891 7.952
Br 0.034 0.347 8.615
Br 0.034 4.914 7.288
Br 1.417 7.156 9.948
Br 1.417 8.627 5.955
Br 2.496 1.895 5.955
Br 2.496 3.366 9.948
Br 3.879 5.608 7.288
Br 3.879 10.174 8.615
Br 3.946 0.347 1.987
Br 3.946 4.914 3.314
Br 5.329 7.156 0.654
Br 5.329 8.627 4.647
Br 6.408 1.895 4.647
Br 6.408 3.366 0.654
Br 7.791 5.608 3.314
Br 7.791 10.174 1.987


ii.
3
Lattice="3.955 0.000 0.000 0.000 4.833 0.000 -1.934 0.000 6.324" Properties=species:S:1:pos:R:3 comment="GaBr2 PBE relaxed" space_group=Pm magmom_total_mub_per_cell=0.0 pbc="T T T"
Ga 0.000 0.000 0.000
Br 0.001 2.416 0.868
Br 0.044 0.000 4.645


iii.
6
Lattice="6.538 0.000 0.000 -2.462 6.107 0.000 -2.530 -2.712 5.479" Properties=species:S:1:pos:R:3 comment="GaBr2 PBE relaxed" space_group=P1 magmom_total_mub_per_cell=0.0 pbc="T T T"
Ga 0.000 0.000 0.000
Ga -2.138 1.796 2.818
Br -1.299 2.832 0.860
Br -1.304 -0.420 2.873
Br -1.454 2.986 4.757
Br 2.041 1.768 2.772


Stability, lowest: ii


i.
36
Lattice="11.857 6.845 2.866 -11.857 6.845 2.866 0.000 -13.691 2.866" Properties=species:S:1:pos:R:3 comment="GaBr2 PBE relaxed" space_group=R3c magmom_total_mub_per_cell=0.0 pbc="T T T"
Ga -8.558 -2.876 4.299
Ga -4.662 0.387 2.396
Ga -1.788 -4.841 2.866
Ga 1.995 -4.231 2.396
Ga -3.298 3.969 2.866
Ga 2.667 3.844 2.396
Ga 5.087 0.872 2.866
Ga -1.995 -4.231 6.695
Ga 6.770 -5.973 4.299
Ga -2.667 3.844 6.695
Ga 1.788 8.850 4.299
Ga 4.662 0.387 6.695
Br -9.278 -5.755 4.715
Br -11.039 0.832 4.161
Br -8.570 3.717 3.636
Br -6.106 -0.307 4.124
Br -5.751 -7.152 5.557
Br 1.066 -9.281 3.636
Br -2.579 1.090 3.282
Br 0.346 -2.779 3.282
Br -3.286 -3.128 5.069
Br 4.799 -9.976 4.161
Br -0.817 -6.014 5.594
Br 3.319 -5.134 4.124
Br 2.234 1.689 3.282
Br -4.799 3.715 5.594
Br -1.066 4.410 5.069
Br -3.319 8.557 5.557
Br 2.787 5.441 4.124
Br 4.352 -1.282 5.069
Br -0.346 10.912 4.715
Br 9.623 -5.157 4.715
Br 7.505 5.563 3.636
Br 5.617 2.299 5.594
Br 6.240 9.144 4.161
Br 9.070 -1.404 5.557


ii.
3
Lattice="3.964 0.000 0.000 0.000 4.839 0.000 0.000 0.000 5.818" Properties=species:S:1:pos:R:3 comment="GaBr2 PBE relaxed" space_group=Pmm2 magmom_total_mub_per_cell=0.0 pbc="T T T"
Ga 0.000 0.000 0.000
Br 0.000 2.420 0.856
Br 1.982 0.000 4.141


Stability, lowest: ii


i.
5
Lattice="-2.322 2.322 5.104 2.322 -2.322 5.104 2.322 2.322 -5.104" Properties=species:S:1:pos:R:3 comment="Ga2Ge2Br PBE relaxed" space_group=I4/mmm magmom_total_mub_per_cell=0.0 pbc="T T T"
Ga 2.322 0.000 2.552
Ga 0.000 2.322 2.552
Ge 0.000 0.000 1.257
Ge 0.000 0.000 8.952
Br 0.000 0.000 5.104


ii.
10
Lattice="7.906 0.000 0.000 0.000 7.906 0.000 0.000 0.000 3.580" Properties=species:S:1:pos:R:3 comment="Ga2Ge2Br PBE relaxed" space_group=P4/mbm magmom_total_mub_per_cell=0.0 pbc="T T T"
Ga 1.485 2.468 0.000
Ga 2.468 6.421 0.000
Ga 5.439 1.485 0.000
Ga 6.421 5.439 0.000
Ge 0.899 4.853 1.790
Ge 3.054 0.899 1.790
Ge 4.853 7.007 1.790
Ge 7.007 3.054 1.790
Br 0.000 0.000 0.000
Br 3.953 3.953 0.000


Stability, lowest: ii


i.
8
Lattice="-3.087 3.087 6.354 3.087 -3.087 6.354 3.087 3.087 -6.354" Properties=species:S:1:pos:R:3 comment="Ga2GeBr PBE relaxed" space_group=I-42d magmom_total_mub_per_cell=0.0 pbc="T T T"
Ga 4.631 1.234 -1.589
Ga 1.234 1.544 1.589
Ga -1.544 1.853 4.766
Ga 1.853 1.544 7.943
Ge 0.000 0.000 0.000
Ge 0.000 3.087 3.177
Br 3.087 0.000 3.177
Br 0.000 0.000 6.354


ii.
4
Lattice="0.000 3.536 3.536 3.536 0.000 3.536 3.536 3.536 0.000" Properties=species:S:1:pos:R:3 comment="Ga2GeBr PBE relaxed" space_group=Fm-3m magmom_total_mub_per_cell=0.0 pbc="T T T"
Ga 1.768 1.768 1.768
Ga 5.304 5.304 5.304
Ge 0.000 0.000 0.000
Br 3.536 3.536 3.536


Stability, lowest: ii